The following is a PBE+U calculation of an optimized crystal structure of Cs3NiO, from Alexandria.

POSCAR file:
```
Cs3NiO
1.0
5.944 0.000 0.000
0.000 5.944 0.000
0.000 0.000 5.944
Cs Ni O
3 1 1
Direct
0.000 0.500 0.000
0.000 0.000 0.500
0.500 0.000 0.000
0.500 0.500 0.500
0.000 0.000 0.000
```

energy above the lowest structure with this stoichiometry	0	meV/atom
crystal system	cubic

The following is a PBE+U calculation of an optimized crystal structure of CsNiO, from Alexandria.

POSCAR file:
```
CsNiO
1.0
3.761 0.165 -0.228
-0.363 6.250 -0.105
-1.334 -2.230 6.370
Cs Ni O
2 2 2
Direct
0.540 0.099 0.233
0.375 0.433 0.871
0.140 0.659 0.419
0.772 0.886 0.680
0.636 0.648 0.409
0.893 0.117 0.927
```

raw total energy	-20.80	eV per cell
crystal system	triclinic

The following is a PBE+U calculation of an optimized crystal structure of CsNiO2, from Alexandria.

POSCAR file:
```
CsNiO2
1.0
-4.949 -0.417 0.066
0.632 -8.040 -2.682
0.079 -0.209 4.620
Cs Ni O
2 2 4
Direct
0.464 0.631 0.724
0.964 0.246 0.033
0.464 0.054 0.438
0.963 0.824 0.320
0.466 0.262 0.544
0.213 0.939 0.583
0.964 0.616 0.216
0.713 0.939 0.174
```

raw total energy	-33.47	eV per cell
crystal system	triclinic

The following is a PBE+U calculation of an optimized crystal structure of CsNiO, from Alexandria.

POSCAR file:
```
CsNiO
1.0
-0.538 -1.483 -4.220
-2.728 -3.259 1.493
-2.784 2.148 -0.399
Cs Ni O
1 1 1
Direct
0.500 0.500 0.500
0.000 0.000 0.000
0.000 0.000 0.500
```

raw total energy	-9.91	eV per cell
crystal system	tetragonal

The following is a PBE+U calculation of an optimized crystal structure of Cs2NiO2, from Alexandria.

POSCAR file:
```
Cs2NiO2
1.0
-0.990 4.343 -0.147
-4.076 -0.981 -1.513
0.211 -1.992 7.288
Cs Ni O
2 1 2
Direct
0.346 0.346 0.693
0.654 0.654 0.307
0.000 0.000 0.000
0.125 0.125 0.250
0.875 0.875 0.750
```

raw total energy	-19.69	eV per cell
crystal system	tetragonal

The following is a PBE+U calculation of an optimized crystal structure of CsNiO2, from Alexandria.

POSCAR file:
```
CsNiO2
1.0
6.092 0.031 -0.005
-2.074 5.723 -0.006
0.888 1.265 5.200
Cs Ni O
2 2 4
Direct
0.145 0.630 0.756
0.459 0.315 0.255
0.802 0.973 0.006
0.802 0.973 0.506
0.963 0.176 0.181
0.641 0.770 0.831
0.599 0.812 0.331
0.005 0.133 0.681
```

raw total energy	-34.97	eV per cell
crystal system	monoclinic